Below is crystalline TbZnCuPt at its relaxed geometry, with properties calculated at the PBE level.

```
4
Lattice="4.662 0.000 0.000 2.331 4.037 0.000 2.331 1.346 3.806" Properties=species:S:1:pos:R:3 pbc="T T T"
Zn 0.000 0.000 0.000
Tb 4.662 2.691 1.903
Cu 2.331 1.346 0.952
Pt 6.992 4.037 2.855
```

Calculated values
crystal system	cubic
formation energy	-545	meV per atom
V	72	Å³/cell
total DFT energy (no corrections)	-18.2	eV/cell